No. 1
Density functional theory data (PBE) for crystalline Nb2CO at its relaxed geometry.

Computed properties:
Its space group is R-3m, No. 166. The calculation puts the offset from the most stable computed form at 71 meV per atom. The calculation puts the volume at 14.03 Å³ per atom. As for the uncorrected formation energy: -0.985 eV/atom.

```
Nb2CO
1.0
3.202 0.000 0.000
1.601 2.773 0.000
1.601 0.924 6.320
C Nb O
1 2 1
direct
0.500 0.500 0.500
0.897 0.897 0.308
0.103 0.103 0.692
0.000 0.000 0.000
```

No. 2
Density functional theory data (PBE) for crystalline LiTlTc2 at its relaxed geometry.

Computed properties:
The calculation puts the energy relative to the elements at 0.4624 eV per atom. Its space group is P2/m, No. 10. The calculation puts the offset from the most stable computed form at 305 meV per atom. The calculation puts the volume at 17.01 Å³ per atom.

```
LiTlTc2
1.0
4.912 0.000 0.000
0.000 3.017 0.002
0.000 -0.277 4.591
Tc Li Tl
2 1 1
direct
0.000 0.450 0.539
0.000 0.050 0.961
0.500 0.750 0.750
0.500 0.250 0.250
```

No. 3
Density functional theory data (PBE) for crystalline LiLaRuCl2 at its relaxed geometry.

Computed properties:
Its space group is P4/mmm, No. 123. The calculation puts the volume at 20.35 Å³ per atom. As for the uncorrected formation energy: -0.520 eV/atom.

```
LiLaRuCl2
1.0
4.492 0.000 0.000
0.000 5.041 0.000
0.000 0.000 4.492
Cl Li Ru La
2 1 1 1
direct
0.000 0.000 0.500
0.500 0.000 0.000
0.000 0.000 0.000
0.000 0.500 0.000
0.500 0.500 0.500
```

No. 4
Density functional theory data (PBE) for crystalline Sr3AcF8 at its relaxed geometry.

Computed properties:
Its space group is Pm-3m, No. 221. The calculation puts the volume at 17.65 Å³ per atom. As for the uncorrected formation energy: -3.801 eV/atom.

```
Sr3AcF8
1.0
5.961 0.000 0.000
0.000 5.961 0.000
0.000 0.000 5.961
F Sr Ac
8 3 1
direct
0.749 0.251 0.749
0.749 0.749 0.749
0.251 0.251 0.251
0.749 0.251 0.251
0.749 0.749 0.251
0.251 0.251 0.749
0.251 0.749 0.251
0.251 0.749 0.749
0.500 0.500 0.000
0.500 0.000 0.500
0.000 0.500 0.500
0.000 0.000 0.000
```

No. 5
Density functional theory data (PBE) for crystalline CsLa2Au at its relaxed geometry.

Computed properties:
The calculation puts the energy relative to the elements at 0.0938 eV per atom. Its space group is I-42d, No. 122. The calculation puts the offset from the most stable computed form at 0 meV per atom. The calculation puts the volume at 38.96 Å³ per atom.

```
CsLa2Au
1.0
-7.392 2.874 4.552
-5.366 -3.314 -6.622
-6.555 -3.490 0.744
Au La Cs
2 4 2
direct
0.750 0.250 0.500
0.000 0.000 0.000
0.375 0.311 0.750
0.689 0.125 0.250
0.875 0.939 0.750
0.061 0.625 0.250
0.500 0.500 0.000
0.250 0.750 0.500
```

No. 6
Density functional theory data (PBE) for crystalline NaY3Ir at its relaxed geometry.

Computed properties:
The calculation puts the energy relative to the elements at -0.2635 eV per atom. Its space group is Pm-3m, No. 221. The calculation puts the offset from the most stable computed form at 0 meV per atom. The calculation puts the volume at 32.97 Å³ per atom.

```
NaY3Ir
1.0
5.483 0.000 0.000
0.000 5.483 0.000
0.000 0.000 5.483
Na Ir Y
1 1 3
direct
0.500 0.500 0.500
0.000 0.000 0.000
0.000 0.000 0.500
0.500 0.000 0.000
0.000 0.500 0.000
```

No. 7
Density functional theory data (PBE) for crystalline Er4AlNi at its relaxed geometry.

Computed properties:
The calculation puts the energy relative to the elements at -0.2571 eV per atom. Its space group is C2/c, No. 15. The calculation puts the offset from the most stable computed form at 96 meV per atom. The calculation puts the volume at 25.16 Å³ per atom.

```
Er4AlNi
1.0
5.930 -0.721 0.000
-2.474 8.516 0.000
-1.728 -3.897 6.198
Er Al Ni
8 2 2
direct
0.105 0.208 0.832
0.773 0.376 0.168
0.400 0.945 0.667
0.766 0.722 0.667
0.227 0.624 0.832
0.600 0.055 0.333
0.895 0.792 0.168
0.234 0.278 0.333
0.627 0.377 0.753
0.373 0.623 0.247
0.752 0.002 0.003
0.248 0.998 0.997
```

No. 8
Density functional theory data (PBE) for crystalline TmMgNi at its relaxed geometry.

Computed properties:
The calculation puts the energy relative to the elements at -0.3317 eV per atom. Its space group is Pmma, No. 51. The calculation puts the volume at 19.89 Å³ per atom.

```
TmMgNi
1.0
3.862 0.000 0.000
0.000 7.408 0.000
0.000 0.000 12.516
Mg Ni Tm
6 6 6
direct
0.500 0.563 0.625
0.500 0.804 0.250
0.500 0.437 0.375
0.500 0.196 0.750
0.500 0.563 0.875
0.500 0.437 0.125
0.000 0.434 0.750
0.500 0.938 0.908
0.500 0.062 0.408
0.500 0.062 0.092
0.500 0.938 0.592
0.000 0.566 0.250
0.000 0.151 0.250
0.000 0.217 0.545
0.000 0.783 0.455
0.000 0.783 0.045
0.000 0.217 0.955
0.000 0.849 0.750
```

No. 9
Density functional theory data (PBE) for crystalline Na2Mg5In5 at its relaxed geometry.

Computed properties:
The calculation puts the energy relative to the elements at -0.0702 eV per atom. Its space group is C2/m, No. 12. The calculation puts the volume at 24.26 Å³ per atom.

```
Na2Mg5In5
1.0
0.896 3.447 2.861
-0.026 -2.580 6.764
9.366 -1.489 2.509
Na In Mg
2 5 5
direct
0.919 0.412 0.750
0.081 0.588 0.250
0.598 0.062 0.742
0.500 0.500 0.500
0.339 0.328 0.995
0.402 0.938 0.258
0.661 0.672 0.005
0.166 0.165 0.504
0.000 0.000 0.000
0.753 0.248 0.246
0.247 0.752 0.754
0.834 0.835 0.496
```

No. 10
Density functional theory data (PBE) for crystalline Ac2PbAu9 at its relaxed geometry.

Computed properties:
The calculation puts the energy relative to the elements at -0.3783 eV per atom. Its space group is R-3m, No. 166. The calculation puts the volume at 22.95 Å³ per atom.

```
Ac2PbAu9
1.0
5.859 0.000 0.000
2.929 5.074 0.000
2.929 1.691 9.263
Ac Au Pb
2 9 1
direct
0.135 0.135 0.594
0.865 0.865 0.406
0.414 0.414 0.251
0.586 0.586 0.749
0.078 0.586 0.749
0.922 0.414 0.251
0.414 0.922 0.251
0.586 0.078 0.749
0.667 0.667 0.000
0.500 0.500 0.500
0.333 0.333 0.000
0.000 0.000 0.000
```

No. 11
Density functional theory data (PBE) for crystalline KY2Fe at its relaxed geometry.

Computed properties:
The calculation puts the energy relative to the elements at 0.8059 eV per atom. Its space group is Fm-3m, No. 225. The calculation puts the offset from the most stable computed form at 599 meV per atom. The calculation puts the volume at 24.88 Å³ per atom.

```
KY2Fe
1.0
-2.874 0.631 4.290
-4.762 2.067 -0.340
-4.191 -2.980 0.785
Y Fe K
2 1 1
direct
0.750 0.750 0.750
0.250 0.250 0.250
0.500 0.500 0.500
0.000 0.000 0.000
```

No. 12
Density functional theory data (PBE) for crystalline TbLu2C at its relaxed geometry.

Computed properties:
The calculation puts the energy relative to the elements at -0.1326 eV per atom. Its space group is R-3m, No. 166. The calculation puts the volume at 24.63 Å³ per atom.

```
TbLu2C
1.0
-0.383 2.444 2.416
-2.790 2.042 -0.034
-5.668 -4.711 6.343
C Lu Tb
1 2 1
direct
0.500 0.500 0.500
0.879 0.879 0.363
0.121 0.121 0.637
0.000 0.000 0.000
```

No. 13
Density functional theory data (PBE) for crystalline KMnCr at its relaxed geometry.

Computed properties:
The calculation puts the energy relative to the elements at 1.4061 eV per atom. Its space group is P3m1, No. 156. The calculation puts the offset from the most stable computed form at 630 meV per atom. The calculation puts the volume at 26.03 Å³ per atom.

```
KMnCr
1.0
5.467 0.000 0.000
-2.733 4.735 0.000
0.000 0.000 3.017
Cr Mn K
1 1 1
direct
0.000 0.000 0.987
0.333 0.667 0.683
0.667 0.333 0.330
```

No. 14
Density functional theory data (PBE) for crystalline Ac3SiBi at its relaxed geometry.

Computed properties:
Its space group is Cm, No. 8. The calculation puts the offset from the most stable computed form at 2 meV per atom. The calculation puts the volume at 42.71 Å³ per atom. As for the uncorrected formation energy: -0.309 eV/atom.

```
Ac3SiBi
1.0
7.827 0.000 0.000
3.913 6.781 0.000
3.913 2.258 8.048
Ac Si Bi
6 2 2
direct
0.474 0.087 0.397
0.960 0.087 0.397
0.639 0.274 0.859
0.961 0.600 0.397
0.146 0.274 0.859
0.146 0.766 0.859
0.055 0.181 0.626
0.890 0.017 0.120
0.436 0.563 0.482
0.676 0.802 0.763
```

No. 15
Density functional theory data (PBE) for crystalline CuIrBr2 at its relaxed geometry.

Computed properties:
Its space group is I-4m2, No. 119. The calculation puts the offset from the most stable computed form at 496 meV per atom. The calculation puts the volume at 24.23 Å³ per atom. As for the uncorrected formation energy: 0.748 eV/atom.

```
CuIrBr2
1.0
-2.795 7.323 1.549
-3.552 6.324 -3.350
0.909 -7.804 1.450
Ir Br Cu
1 2 1
direct
0.750 0.250 0.500
0.000 0.000 0.000
0.250 0.750 0.500
0.500 0.500 0.000
```

No. 16
Density functional theory data (PBE) for crystalline Cs2LaTlBr6 at its relaxed geometry.

Computed properties:
Its space group is P2_1/c, No. 14. The calculation puts the volume at 44.49 Å³ per atom. As for the uncorrected formation energy: -1.730 eV/atom.

```
Cs2LaTlBr6
1.0
-1.300 4.213 -7.146
-8.619 -1.720 0.553
-1.640 10.201 6.171
Cs Br La Tl
4 12 2 2
direct
0.478 0.435 0.248
0.022 0.935 0.252
0.978 0.065 0.748
0.522 0.565 0.752
0.316 0.723 0.447
0.283 0.688 0.045
0.816 0.777 0.947
0.597 0.032 0.265
0.783 0.812 0.545
0.217 0.188 0.455
0.717 0.312 0.955
0.903 0.532 0.235
0.684 0.277 0.553
0.097 0.468 0.765
0.403 0.968 0.735
0.184 0.223 0.053
0.000 0.500 0.000
0.500 0.000 0.500
0.000 0.500 0.500
0.500 0.000 0.000
```